VASP calculation (GGA-PBE) on a relaxed structure of Ce2AlSi3.

Summary:
E_tot, eV per formula unit: -35.6
E_form (uncorrected), eV per atom: -0.623

```
6
Lattice="-3.332 -0.332 2.331 -2.142 -1.517 -3.278 4.676 -5.749 2.294" Properties=species:S:1:pos:R:3 pbc="T T T"
Ce 0.506 -1.743 0.475
Ce -0.238 -5.081 2.506
Al 0.710 -6.889 0.033
Si -1.932 -3.696 0.283
Si -2.569 -1.502 -0.316
Si 0.057 -4.641 -0.580
```

=====

VASP calculation (GGA-PBE) on a relaxed structure of Tb5PmY7.

Summary:
E_tot, eV per formula unit: -70.1
Energy relative to the elements, meV/atom: 237

```
13
Lattice="6.291 0.000 2.305 2.999 8.055 1.552 0.370 -0.081 8.726" Properties=species:S:1:pos:R:3 pbc="T T T"
Tb 3.551 -0.013 5.263
Tb 0.180 -0.013 4.028
Tb 4.755 3.713 1.977
Tb 1.384 3.713 0.742
Tb 7.315 5.788 9.245
Pm 6.184 0.290 2.595
Y 5.052 3.382 5.686
Y 4.148 5.847 8.151
Y 1.292 2.430 6.209
Y 2.195 5.222 3.747
Y 2.467 1.852 3.004
Y 5.760 6.528 3.753
Y 4.016 1.129 8.513
```

=====

VASP calculation (GGA-PBE) on a relaxed structure of LiGaPb2.

Summary:
E_tot, eV per formula unit: -12.3
Energy relative to the elements, meV/atom: 17

```
4
Lattice="4.810 0.000 0.000 2.405 4.166 0.000 2.405 1.389 5.471" Properties=species:S:1:pos:R:3 pbc="T T T"
Li 4.810 2.777 2.899
Ga 7.216 4.166 5.386
Pb 2.405 1.389 4.312
Pb 2.405 1.389 1.080
```

=====

VASP calculation (GGA-PBE) on a relaxed structure of ErZrGa2.

Summary:
E_tot, eV per formula unit: -21.1
Energy relative to the elements, meV/atom: -473

```
4
Lattice="3.941 0.000 0.000 0.000 4.554 0.000 0.000 0.000 4.554" Properties=species:S:1:pos:R:3 pbc="T T T"
Ga 0.000 0.000 2.277
Ga 0.000 2.277 0.000
Zr 1.970 2.277 2.277
Er 1.970 0.000 0.000
```

=====

VASP calculation (GGA-PBE) on a relaxed structure of MnNbIrW.

Summary:
E_tot, eV per formula unit: -41.3
Energy relative to the elements, meV/atom: -68

```
4
Lattice="4.439 0.000 0.000 2.219 3.844 0.000 2.219 1.281 3.624" Properties=species:S:1:pos:R:3 pbc="T T T"
Mn 2.219 1.281 0.906
Nb 6.658 3.844 2.718
Ir 0.000 0.000 0.000
W 4.439 2.563 1.812
```

=====

VASP calculation (GGA-PBE) on a relaxed structure of PmErCuPt.

Summary:
E_tot, eV per formula unit: -22.5
Energy relative to the elements, meV/atom: -764

```
4
Lattice="-0.130 -0.480 3.782 4.372 -0.685 0.063 0.877 5.487 -1.196" Properties=species:S:1:pos:R:3 pbc="T T T"
Pm 2.705 3.188 2.422
Er 0.222 1.435 0.190
Cu 0.689 4.451 0.589
Pt 2.251 0.255 2.033
```

=====

VASP calculation (GGA-PBE) on a relaxed structure of Pr6Nd4Ho.

Summary:
E_tot, eV per formula unit: -49.4
Energy relative to the elements, meV/atom: 270

```
11
Lattice="6.869 0.000 0.000 0.000 6.869 0.000 -3.434 -3.434 8.487" Properties=species:S:1:pos:R:3 pbc="T T T"
Pr 4.732 2.137 3.020
Pr 2.137 4.732 3.020
Pr 1.297 1.297 5.468
Pr 0.000 3.434 0.000
Pr -1.297 -1.297 5.468
Pr 3.434 0.000 0.000
Nd -2.246 2.246 6.462
Nd 5.681 5.681 2.026
Nd 2.246 -2.246 6.462
Nd 1.188 1.188 2.026
Ho 3.434 3.434 0.000
```

=====

VASP calculation (GGA-PBE) on a relaxed structure of NdPaSb3.

Summary:
E_tot, eV per formula unit: -29.6
E_form (uncorrected), eV per atom: -0.602

```
20
Lattice="6.414 0.000 0.000 0.000 6.153 0.000 0.000 0.000 14.404" Properties=species:S:1:pos:R:3 pbc="T T T"
Nd 4.811 2.952 9.676
Nd 1.604 3.200 4.728
Nd 4.811 6.029 4.728
Nd 1.604 0.124 9.676
Pa 3.207 1.538 1.282
Pa 0.000 4.614 13.122
Pa 3.207 4.614 13.122
Pa 0.000 1.538 1.282
Sb 0.000 1.538 7.152
Sb 3.207 4.614 7.252
Sb 0.000 4.614 7.252
Sb 3.207 1.538 7.152
Sb 1.604 1.203 13.001
Sb 4.811 4.950 1.403
Sb 1.604 4.279 1.403
Sb 4.811 1.873 13.001
Sb 1.604 3.230 10.678
Sb 4.811 2.922 3.726
Sb 1.604 0.154 3.726
Sb 4.811 5.999 10.678
```